Density functional theory data (GGA-PBE) for a geometry-optimized VCr3Se structure.

a b c (Å): 4.5436 4.5436 4.5436
angles (deg): 90.00 90.00 90.00
Closest atoms and distances in Å follow each position.
Space group Pm-3m (No. 221)
Unique sites:
V  0.0000  0.0000  0.0000 x1  6 Cr 2.27
Cr  0.0000  0.0000  0.5000 x3  2 V 2.27
Se  0.5000  0.5000  0.5000 x1  12 Cr 3.21

Calculated values
ΔE to the lowest computed polymorph   0.274 eV per atom
Size of the total moment   8.9 μB per cell
E_form (uncorrected)   1.224 eV per atom
D(E_F)   8.63 states/eV/cell
Uncorrected energy   -35.35 eV/f.u.



Density functional theory data (GGA-PBE) for a geometry-optimized CaTl3Ag structure.

a b c (Å): 10.5440 4.2769 12.4344
angles (deg): 90.00 90.00 90.00
Closest atoms and distances in Å follow each position.
Space group Pnma (No. 62)
Unique sites:
Ca  0.2017  0.2500  0.0106 x4  2 Ag 3.29, 6 Tl 3.34-3.42
Tl  0.0780  0.2500  0.4042 x4  3 Ag 2.96-3.01, 2 Tl 3.31
Tl  0.1155  0.7500  0.2037 x4  2 Ag 2.93-3.12
Tl  0.1259  0.7500  0.8135 x4  2 Ag 3.04, 3 Tl 3.32-3.33, 2 Ca 3.35
Ag  0.1165  0.2500  0.6401 x4  7 Tl 2.93-3.12

Calculated values
ΔE to the lowest computed polymorph   0.000 eV per atom
Size of the total moment   0.0 μB per cell
ΔE_f   -0.1188 eV/atom
D(E_F)   8.20 states/eV/cell
Uncorrected energy   -12.55 eV/f.u.



Density functional theory data (GGA-PBE) for a geometry-optimized CsErTlTe3 structure.

a b c (Å): 10.5081 4.4027 11.1045
angles (deg): 90.00 107.62 90.00
Closest atoms and distances in Å follow each position.
Space group P2_1/m (No. 11)
Unique sites:
Cs  0.1879  0.2500  0.2328 x2  7 Te 3.79-4.18, 1 Tl 4.00
Er  0.3579  0.7500  0.8522 x2  6 Te 3.05-3.10
Tl  0.1211  0.2500  0.5687 x2  3 Te 3.02-3.05, 2 Tl 3.36
Te  0.1490  0.2500  0.8475 x2  1 Tl 3.02, 2 Er 3.10
Te  0.3213  0.7500  0.5673 x2  2 Tl 3.05, 1 Er 3.07
Te  0.4368  0.7500  0.1397 x2  3 Er 3.05-3.06

Calculated values
Size of the total moment   0.0 μB per cell
E_form (uncorrected)   -0.931 eV per atom
D(E_F)   5.70 states/eV/cell
Uncorrected energy   -22.79 eV/f.u.



Density functional theory data (GGA-PBE) for a geometry-optimized Li2Ac3Mg7 structure.

a b c (Å): 6.2936 6.2936 29.6945
angles (deg): 90.00 90.00 120.00
Closest atoms and distances in Å follow each position.
Space group R-3m (No. 166, hexagonal axes)
Unique sites:
Li  0.0000  0.0000  0.1667 x6  6 Mg 2.97
Ac  0.0000  0.0000  0.3578 x6  12 Mg 3.66-3.79, 3 Ac 3.91
Ac  0.0000  0.0000  0.5000 x3  6 Li 3.63, 12 Mg 3.93
Mg  0.0000  0.0000  0.0000 x3  6 Mg 3.17
Mg  0.0010  0.5005  0.4209 x18  2 Li 2.97, 5 Mg 3.14-3.17

Calculated values
Size of the total moment   0.0 μB per cell
ΔE_f   -0.0753 eV/atom
D(E_F)   36.73 states/eV/cell
Uncorrected energy   -28.22 eV/f.u.